This record from the Alexandria database describes a relaxed structure of Pm3AgN. The functional is GGA-PBE.

**Symmetry**: No. 221
**Raw formation energy**: -0.62 eV/atom
**Volume**: 122 Å³/f.u.
**Crystal system**: cubic
**Raw total energy**: -28.53 eV per formula unit
**ΔE to the lowest computed polymorph**: 0.32 eV per formula unit

a = 4.961 Å, b = 4.961 Å, c = 4.961 Å
α = 90.00°, β = 90.00°, γ = 90.00°
Element x y z (fractional)
Pm 0.000 0.000 0.500
Pm 0.000 0.500 0.000
Pm 0.500 0.000 0.000
Ag 0.500 0.500 0.500
N 0.000 0.000 0.000

This record from the Alexandria database describes a relaxed structure of Pm3AgN. The functional is GGA-PBE.

**Symmetry**: No. 74
**Raw formation energy**: -0.69 eV/atom
**Volume**: 120 Å³/f.u.
**Crystal system**: orthorhombic
**Raw total energy**: -28.85 eV per formula unit
**ΔE to the lowest computed polymorph**: 0.00 eV per formula unit

a = 6.963 Å, b = 6.963 Å, c = 6.963 Å
α = 119.16°, β = 91.02°, γ = 119.66°
Element x y z (fractional)
Pm 0.204 0.000 0.704
Pm 0.204 0.500 0.204
Pm 0.340 0.090 0.250
Pm 0.660 0.910 0.750
Pm 0.796 0.000 0.296
Pm 0.796 0.500 0.796
Ag 0.237 0.487 0.750
Ag 0.763 0.513 0.250
N 0.000 0.000 0.000
N 0.500 0.000 0.500